Entry 1:
Density functional theory data (PBE) for a relaxed LuCuOsW crystal.

Properties
* polymorph energy (0 for the lowest one): 28.9 meV/atom
* DFT total energy: -7.9798 eV per atom
* E_form: 0.127 eV/atom

The structure in POSCAR format:
```
LuCuOsW
1.0
4.4596 -0.5377 0.0579
1.7619 -4.0862 0.6160
2.0540 -2.0965 -3.4010
Cu W Lu Os
1 1 1 1
Cartesian
6.2066 -5.0403 -2.0453
2.0689 -1.6801 -0.6818
4.1378 -3.3602 -1.3635
0.0000 0.0000 0.0000
```


Entry 2:
Density functional theory data (PBE) for a relaxed ErThBi crystal.

Properties
* DFT total energy: -5.3674 eV per atom

The structure in POSCAR format:
```
ErThBi
1.0
0.0000 3.7089 3.7089
3.7089 0.0000 3.7089
3.7089 3.7089 0.0000
Bi Th Er
1 1 1
Cartesian
0.0000 0.0000 0.0000
5.5634 5.5634 5.5634
1.8545 1.8545 1.8545
```


Entry 3:
Density functional theory data (PBE) for a relaxed Rb2U6Pd4Se17 crystal.

Properties
* DFT total energy: -6.1710 eV per atom

The structure in POSCAR format:
```
Rb2U6Pd4Se17
1.0
-2.3438 -0.1734 10.4426
6.9896 -7.9783 1.4363
9.6840 8.9019 2.3214
Se Pd Rb U
34 8 4 12
Cartesian
10.8881 -1.8275 10.2152
8.4612 0.7968 10.4132
3.4418 2.5777 3.9851
4.8475 -3.4860 3.3461
10.6022 -0.6042 6.8542
8.8908 5.9636 6.6979
5.9914 3.1679 11.4865
10.9090 -0.0548 3.3301
6.0123 4.9406 4.6013
5.8686 -0.0466 3.7871
12.5525 1.3256 9.2077
8.3175 -4.1904 9.5990
9.4823 4.2362 10.8543
7.0103 -6.1005 4.4872
8.4738 2.3482 4.4116
7.1649 0.3751 7.1002
5.8561 -1.5980 9.7887
5.4391 -5.2134 7.5025
3.4208 0.8050 10.8703
11.3203 1.7611 12.5404
8.3385 -2.4177 2.7139
1.7773 -0.5754 4.9927
0.2407 0.3436 8.0162
10.0883 5.4962 3.3568
0.0000 0.0000 0.0000
11.9610 3.0530 5.0513
4.2415 -4.7460 10.8435
7.3195 6.8507 9.7131
2.3688 -2.3028 9.1491
3.7276 1.3544 7.3462
3.0095 -1.0110 1.6599
14.0891 0.4066 6.1841
6.3328 3.7492 7.9707
7.9970 -2.9990 6.2297
2.7130 -3.4831 2.0392
7.0966 -0.7823 11.8232
5.0253 -6.9714 5.7697
1.9328 -4.6686 9.8397
7.2332 1.5324 2.3772
10.5137 -3.0610 6.3066
-0.3794 -1.1804 6.1092
3.8161 3.8112 7.8937
6.9814 6.4176 1.6736
4.4623 -2.1092 6.4523
2.7026 2.4843 0.6478
9.8675 2.8594 7.7480
0.2650 -0.9869 2.6786
-0.3871 -2.0694 9.5505
1.2491 2.1388 5.8017
8.5560 -0.5285 4.7619
5.7738 1.2786 9.4385
10.7578 2.6873 2.4592
5.0329 -6.0823 2.3284
4.3808 -7.1649 9.2003
5.7636 2.3121 5.5180
8.5663 -1.5620 8.6823
6.0911 6.5897 6.9624
5.9158 -1.7637 1.2985
```


Entry 4:
Density functional theory data (PBE) for a relaxed YTaCuAs crystal.

Properties
* polymorph energy (0 for the lowest one): 0.0 meV/atom
* DFT total energy: -6.2165 eV per atom

The structure in POSCAR format:
```
YTaCuAs
1.0
-3.4350 -0.9564 3.0689
-3.9000 -2.1988 -1.4446
-0.8157 -4.4449 1.3076
Y As Cu Ta
1 1 1 1
Cartesian
-4.0754 -3.8001 1.4659
0.0000 0.0000 0.0000
-6.1130 -5.7001 2.1989
-2.0377 -1.9000 0.7330
```


Entry 5:
Density functional theory data (PBE) for a relaxed HfGaHg2 crystal.

Properties
* DFT total energy: -3.2055 eV per atom

The structure in POSCAR format:
```
HfGaHg2
1.0
4.8298 -0.5968 0.6423
2.3961 2.7444 3.2898
1.6930 -2.0404 4.1312
Ga Hf Hg
1 1 2
Cartesian
4.4595 0.0536 4.0316
2.2297 0.0268 2.0158
0.0000 0.0000 0.0000
6.6892 0.0804 6.0475
```


Entry 6:
Density functional theory data (PBE) for a relaxed AgPdCl3 crystal.

Properties
* polymorph energy (0 for the lowest one): 12.8 meV/atom
* DFT total energy: -3.0895 eV per atom

The structure in POSCAR format:
```
AgPdCl3
1.0
-6.5930 -1.3857 -0.4807
-0.3704 -1.4909 9.3778
-1.3955 6.3110 0.9482
Ag Cl Pd
4 12 4
Cartesian
-0.7144 -1.0861 7.0212
-4.6563 1.1399 7.2194
-3.7027 2.2945 2.6259
-7.6446 4.5205 2.8241
-2.7999 0.1213 8.9600
-2.4260 4.7455 1.2368
-0.8867 1.9979 2.6900
-3.8086 -0.3891 2.1951
-2.6592 0.6878 5.3972
-5.9329 -1.3111 8.6085
-2.5668 4.1790 4.7996
-5.5590 3.3131 0.8853
-4.5503 3.8235 7.6503
-5.7922 -0.7446 5.0458
-5.6997 2.7466 4.4481
-7.4723 1.4366 7.1554
-0.6978 3.1555 0.4741
-3.2965 -0.6928 -0.2404
-3.4817 -1.4383 4.4486
-0.8830 2.4100 5.1630
```


Entry 7:
Density functional theory data (PBE) for a relaxed La2Sn2Pd3Pt crystal.

Properties
* DFT total energy: -5.8192 eV per atom

The structure in POSCAR format:
```
La2Sn2Pd3Pt
1.0
-0.9546 4.5157 -0.7241
-1.6404 -2.1529 3.8080
7.7526 2.3911 4.6914
Sn Pd Pt La
2 3 1 2
Cartesian
2.4739 1.2684 4.6487
-1.3971 0.0745 2.3062
5.9077 4.4798 5.0776
3.3248 3.6832 3.5146
3.2491 1.0021 1.9662
0.6390 0.1971 0.3867
5.8227 1.7959 3.5236
0.7408 2.8862 1.9509
```


Entry 8:
Density functional theory data (PBE) for a relaxed Cs2HfInBr6 crystal.

Properties
* DFT total energy: -3.7761 eV per atom

The structure in POSCAR format:
```
Cs2HfInBr6
1.0
1.7112 -0.2345 8.0481
-3.6189 -5.6099 4.8153
4.4061 -6.2279 3.0911
Br Cs In Hf
6 2 1 1
Cartesian
2.9575 -6.1399 5.3332
-1.3851 -5.8055 6.2662
1.4992 -2.8967 8.0156
-0.4591 -5.9324 10.6213
3.8835 -6.2668 9.6883
0.9992 -9.1756 7.9389
1.8738 -9.0542 11.9659
0.6246 -3.0181 3.9886
1.2492 -6.0361 7.9773
0.0000 0.0000 0.0000
```


Entry 9:
Density functional theory data (PBE) for a relaxed YTa2Zn crystal.

Properties
* DFT total energy: -7.5929 eV per atom
* E_form: 0.266 eV/atom

The structure in POSCAR format:
```
YTa2Zn
1.0
1.6973 -3.3392 2.9990
-3.0218 -2.5030 2.7621
-0.7787 -4.6491 -0.8969
Ta Y Zn
2 1 1
Cartesian
-1.5773 -7.8685 3.6481
0.0000 0.0000 0.0000
-0.5258 -2.6228 1.2160
-1.0516 -5.2456 2.4321
```


Entry 10:
Density functional theory data (PBE) for a relaxed Be2B2Pt crystal.

Properties
* DFT total energy: -5.5306 eV per atom

The structure in POSCAR format:
```
Be2B2Pt
1.0
-1.7808 -4.4120 2.6191
1.3568 -3.0786 -4.2636
2.7570 -0.4144 1.1765
B Pt Be
4 2 4
Cartesian
0.3466 -1.6803 -1.4039
0.5112 -4.4924 -2.7801
-0.9352 -2.9982 1.1356
-0.7706 -5.8103 -0.2406
0.0000 0.0000 0.0000
-0.2120 -3.7453 -0.8223
1.9904 -2.9206 -1.8013
0.9799 -2.2042 0.8190
1.3531 -5.7008 -1.2870
0.3426 -4.9844 1.3333
```


Entry 11:
Density functional theory data (PBE) for a relaxed TmAgTeO crystal.

Properties
* DFT total energy: -5.4538 eV per atom

The structure in POSCAR format:
```
TmAgTeO
1.0
7.7533 0.0000 0.3468
0.0000 6.3013 0.0000
-0.5294 0.0000 6.1464
O Ag Tm Te
4 4 4 4
Cartesian
3.7947 1.5021 3.2631
4.0594 1.6485 0.1899
3.1644 4.6528 6.3034
3.4292 4.7992 3.2302
7.0612 1.8182 0.3556
6.7965 1.3325 3.4288
0.1626 4.4832 6.1377
0.4273 4.9688 3.0645
2.8236 3.1284 4.7305
4.4002 3.1729 1.7628
3.0883 0.0223 1.6573
4.1355 6.2790 4.8360
1.0545 0.4991 4.9498
1.3192 2.6516 1.8766
5.9046 3.6497 4.6166
6.1693 5.8023 1.5434
```


Entry 12:
Density functional theory data (PBE) for a relaxed K2NiH6Au crystal.

Properties
* DFT total energy: -3.2086 eV per atom

The structure in POSCAR format:
```
K2NiH6Au
1.0
1.4878 -2.5214 4.4797
-3.3438 -0.2412 4.1713
-2.2812 -4.6532 1.3351
H K Ni Au
6 2 1 1
Cartesian
-3.6023 -4.2196 5.2145
-1.5187 -5.2029 5.3475
-1.9769 -3.3002 6.5706
-0.5349 -3.1962 4.7717
-2.6185 -2.2129 4.6387
-2.1603 -4.1156 3.4156
-3.1029 -5.5618 7.4896
-1.0343 -1.8539 2.4965
-2.0686 -3.7079 4.9931
0.0000 0.0000 0.0000
```


> Among the records above, which one has the highest DFT total energy?

AgPdCl3


> Which of these has the lowest DFT total energy?

LuCuOsW